The following is a DFT calculation (PBE) of an optimized crystal structure of Ca4UN4.

SG = C2/m
formation energy from raw total energies = -10.2 eV per formula unit

Cell lengths 3.562, 6.139, 7.796 Å; angles 76.00, 76.80, 73.14 degrees
Each line ends with the local moment (μB).
Fractional positions:
Ca 0.703 0.399 0.194  0.00
Ca 0.891 0.828 0.391  0.00
Ca 0.297 0.601 0.806  0.00
Ca 0.109 0.172 0.609  0.00
U 0.500 0.000 0.000  0.37
N 0.321 0.092 0.265  -0.01
N 0.679 0.908 0.735  -0.01
N 0.917 0.248 0.918  -0.01
N 0.083 0.752 0.082  -0.01


The following is a DFT calculation (PBE) of an optimized crystal structure of BeNiTe.

SG = P-1
formation energy from raw total energies = -0.5 eV per formula unit

Cell lengths 3.818, 4.031, 7.937 Å; angles 83.06, 76.15, 61.73 degrees
Fractional positions:
Be 0.016 0.229 0.757
Be 0.297 0.908 0.515
Te 0.584 0.927 0.924
Te 0.729 0.210 0.349
Ni 0.336 0.590 0.756
Ni 0.977 0.547 0.517


The following is a DFT calculation (PBE) of an optimized crystal structure of FeGeAsBr2.

SG = P4/mmm
formation energy from raw total energies = 3.7 eV per formula unit
ΔE to the lowest computed polymorph = 347 meV/atom

Cell lengths 5.167, 5.167, 5.219 Å; angles 90.00, 90.00, 90.00 degrees
Each line ends with the local moment (μB).
Fractional positions:
As 0.000 0.000 0.500  0.09
Ge 0.000 0.000 0.000  -0.02
Br 0.000 0.500 0.000  0.04
Br 0.500 0.000 0.000  0.04
Fe 0.500 0.500 0.500  3.44